Entry 1:
Crystalline K3ErTm2O6 at its relaxed geometry. Source: Alexandria, functional PBE-GGA.

Calculated values
Magnetization, μB/atom: 0.00
DOS at the Fermi energy, states/eV per cell: 0.00
Total energy, eV for the cell shown: -80.30
Energy relative to the elements, uncorrected, eV/atom: -2.81
Mass density, g cm⁻³: 6.257

abc: 5.9382 5.9382 6.5500
angles: 98.69 98.69 120.00
Last column: nearest neighbours and their distance in Å.
Positions (direct):
1 K 0.0000 0.0000 0.0000  6 O 2.79-2.80
2 K 0.3332 0.6668 0.0000  6 O 2.79-2.80
3 K 0.6668 0.3332 0.0000  6 O 2.79-2.80
4 Er 0.5000 0.5000 0.5000  6 O 2.29
5 Tm 0.1667 0.8333 0.5000  6 O 2.28
6 Tm 0.8333 0.1667 0.5000  6 O 2.28
7 O 0.1040 0.4389 0.3168  2 Tm 2.28, 1 Er 2.29
8 O 0.2262 0.2262 0.6833  2 Tm 2.28, 1 Er 2.29
9 O 0.4389 0.1040 0.3168  2 Tm 2.28, 1 Er 2.29
10 O 0.5611 0.8960 0.6832  2 Tm 2.28, 1 Er 2.29
11 O 0.7738 0.7738 0.3167  2 Tm 2.28, 1 Er 2.29
12 O 0.8960 0.5611 0.6832  2 Tm 2.28, 1 Er 2.29

Entry 2:
Crystalline ZnCd4Ag15 at its relaxed geometry. Source: Alexandria, functional PBE-GGA.

Calculated values
Magnetization, μB/atom: 0.00
DOS at the Fermi energy, states/eV per cell: 3.86
Total energy, eV for the cell shown: -48.29
Calculated formation energy, eV/f.u.: -0.6
Mass density, g cm⁻³: 9.712

abc: 4.1204 4.1204 21.4823
angles: 90.00 90.00 90.00
Last column: nearest neighbours and their distance in Å.
Positions (direct):
1 Zn 0.0000 0.0000 0.0000  12 Ag 2.90-2.91
2 Cd 0.0000 0.0000 0.1963  12 Ag 2.91-3.00
3 Cd 0.0000 0.0000 0.3986  12 Ag 2.91-3.00
4 Cd 0.0000 0.0000 0.6014  12 Ag 2.91-3.00
5 Cd 0.0000 0.0000 0.8037  12 Ag 2.91-3.00
6 Ag 0.0000 0.5000 0.0947  2 Zn 2.90, 8 Ag 2.90-2.99, 2 Cd 3.00
7 Ag 0.0000 0.5000 0.2972  8 Ag 2.91-3.00, 4 Cd 2.99-3.00
8 Ag 0.0000 0.5000 0.5000  8 Ag 2.91-3.00, 4 Cd 3.00
9 Ag 0.0000 0.5000 0.7028  8 Ag 2.91-3.00, 4 Cd 2.99-3.00
10 Ag 0.0000 0.5000 0.9053  2 Zn 2.90, 8 Ag 2.90-2.99, 2 Cd 3.00
11 Ag 0.5000 0.0000 0.0947  2 Zn 2.90, 8 Ag 2.90-2.99, 2 Cd 3.00
12 Ag 0.5000 0.0000 0.2972  8 Ag 2.91-3.00, 4 Cd 2.99-3.00
13 Ag 0.5000 0.0000 0.5000  8 Ag 2.91-3.00, 4 Cd 3.00
14 Ag 0.5000 0.0000 0.7028  8 Ag 2.91-3.00, 4 Cd 2.99-3.00
15 Ag 0.5000 0.0000 0.9053  2 Zn 2.90, 8 Ag 2.90-2.99, 2 Cd 3.00
16 Ag 0.5000 0.5000 0.0000  8 Ag 2.90, 4 Zn 2.91
17 Ag 0.5000 0.5000 0.1958  4 Cd 2.91, 8 Ag 2.99-3.00
18 Ag 0.5000 0.5000 0.3986  4 Cd 2.91, 8 Ag 3.00
19 Ag 0.5000 0.5000 0.6014  4 Cd 2.91, 8 Ag 3.00
20 Ag 0.5000 0.5000 0.8042  4 Cd 2.91, 8 Ag 2.99-3.00

Entry 3:
Crystalline Tb5Ho3Er at its relaxed geometry. Source: Alexandria, functional PBE-GGA.

Calculated values
Magnetization, μB/atom: 0.00
DOS at the Fermi energy, states/eV per cell: 19.86
Total energy, eV for the cell shown: -69.87
Calculated formation energy, eV/f.u.: 6.5
Distance to the lowest polymorph of the same formula, meV per atom: 203
Mass density, g cm⁻³: 7.227

abc: 9.3788 9.3788 10.8064
angles: 106.89 106.89 47.97
Last column: nearest neighbours and their distance in Å.
Positions (direct):
1 Tb 0.0819 0.5859 0.9148  4 Ho 3.29-3.31
2 Tb 0.0864 0.5780 0.4203  4 Ho 3.31-3.33
3 Tb 0.2454 0.7546 0.7500  4 Ho 3.31-3.33
4 Tb 0.4141 0.9181 0.5852  4 Ho 3.29-3.31
5 Tb 0.4220 0.9136 0.0797  4 Ho 3.31-3.33
6 Tb 0.5780 0.0864 0.9203  4 Ho 3.31-3.33
7 Tb 0.5859 0.0819 0.4148  4 Ho 3.29-3.31
8 Tb 0.7546 0.2454 0.2500  4 Ho 3.31-3.33
9 Tb 0.9136 0.4220 0.5797  4 Ho 3.31-3.33
10 Tb 0.9181 0.4141 0.0852  4 Ho 3.29-3.31
11 Ho 0.1581 0.1731 0.8316  1 Er 3.29, 7 Tb 3.29-3.33
12 Ho 0.1731 0.1581 0.3316  1 Er 3.29, 7 Tb 3.29-3.33
13 Ho 0.5000 0.5000 0.0000  2 Er 3.28, 6 Tb 3.31-3.33
14 Ho 0.5000 0.5000 0.5000  2 Er 3.28, 6 Tb 3.31-3.33
15 Ho 0.8269 0.8419 0.6684  1 Er 3.29, 7 Tb 3.29-3.33
16 Ho 0.8419 0.8269 0.1684  1 Er 3.29, 7 Tb 3.29-3.33
17 Er 0.2564 0.7436 0.2500  4 Ho 3.28-3.29
18 Er 0.7436 0.2564 0.7500  4 Ho 3.28-3.29

Entry 4:
Crystalline Na2Pa2Te5 at its relaxed geometry. Source: Alexandria, functional PBE-GGA.

Calculated values
Magnetization, μB/atom: 0.22
DOS at the Fermi energy, states/eV per cell: 14.94
Total energy, eV for the cell shown: -90.84
Energy relative to the elements, uncorrected, eV/atom: -0.90
Mass density, g cm⁻³: 6.764

abc: 9.0218 9.0218 8.4139
angles: 90.00 90.00 55.25
Last column: nearest neighbours and their distance in Å.
Positions (direct):
1 Na 0.2013 0.2013 0.0000  7 Te 3.22-3.42
2 Na 0.2987 0.2987 0.5000  7 Te 3.22-3.42
3 Na 0.7013 0.7013 0.5000  7 Te 3.22-3.42
4 Na 0.7987 0.7987 0.0000  7 Te 3.22-3.42
5 Pa 0.1504 0.8496 0.6515  8 Te 3.12-3.25
6 Pa 0.3496 0.6504 0.1515  8 Te 3.12-3.25
7 Pa 0.6504 0.3496 0.8485  8 Te 3.12-3.25
8 Pa 0.8496 0.1504 0.3485  8 Te 3.12-3.25
9 Te 0.0000 0.0000 0.0000  4 Pa 3.19, 2 Na 3.22
10 Te 0.0226 0.7225 0.3513  3 Pa 3.12-3.25, 3 Na 3.26-3.42
11 Te 0.2225 0.5226 0.8513  3 Pa 3.12-3.25, 3 Na 3.26-3.42
12 Te 0.2775 0.9774 0.3513  3 Pa 3.12-3.25, 3 Na 3.26-3.42
13 Te 0.4774 0.7775 0.8513  3 Pa 3.12-3.25, 3 Na 3.26-3.42
14 Te 0.5000 0.5000 0.5000  4 Pa 3.19, 2 Na 3.22
15 Te 0.5226 0.2225 0.1487  3 Pa 3.12-3.25, 3 Na 3.26-3.42
16 Te 0.7225 0.0226 0.6487  3 Pa 3.12-3.25, 3 Na 3.26-3.42
17 Te 0.7775 0.4774 0.1487  3 Pa 3.12-3.25, 3 Na 3.26-3.42
18 Te 0.9774 0.2775 0.6487  3 Pa 3.12-3.25, 3 Na 3.26-3.42

Entry 5:
Crystalline AsPC3 at its relaxed geometry. Source: Alexandria, functional PBE-GGA.

Calculated values
Magnetization, μB/atom: 0.00
DOS at the Fermi energy, states/eV per cell: 2.67
Total energy, eV for the cell shown: -23.66
Calculated formation energy, eV/f.u.: 14.1
Distance to the lowest polymorph of the same formula, meV per atom: 746
Mass density, g cm⁻³: 3.947

abc: 3.9084 3.9084 3.9084
angles: 90.00 90.00 90.00
Last column: nearest neighbours and their distance in Å.
Positions (direct):
1 As 0.0000 0.0000 0.0000  6 C 1.95
2 P 0.5000 0.5000 0.5000  12 C 2.76
3 C 0.0000 0.0000 0.5000  2 As 1.95
4 C 0.0000 0.5000 0.0000  2 As 1.95
5 C 0.5000 0.0000 0.0000  2 As 1.95

Entry 6:
Crystalline KAs2SeF at its relaxed geometry. Source: Alexandria, functional PBE-GGA.

Calculated values
Magnetization, μB/atom: 0.90
DOS at the Fermi energy, states/eV per cell: 14.51
Total energy, eV for the cell shown: -10.23
Distance to the lowest polymorph of the same formula, meV per atom: 1178
Energy relative to the elements, uncorrected, eV/atom: 1.10
Mass density, g cm⁻³: 1.622

abc: 6.8706 6.8706 6.2214
angles: 90.00 90.00 90.00
Last column: nearest neighbours and their distance in Å.
Positions (direct):
1 K 0.0000 0.0000 0.0000  2 Se 3.11, 4 As 3.44
2 As 0.0000 0.5000 0.0000  2 K 3.44
3 As 0.5000 0.0000 0.0000  2 K 3.44
4 Se 0.0000 0.0000 0.5000  2 K 3.11
5 F 0.5000 0.5000 0.5000  8 As 4.63, 4 Se 4.86